Sm2NbAl2Rh5, relaxed, DFT GGA-PBE; crystal system = tetragonal; DFT formation energy = -0.7339 eV per atom
1.0
10.036 0.000 0.000
0.000 10.036 0.000
0.000 0.000 3.489
Sm Nb Al Rh
4 2 4 10
Direct
0.174 0.326 0.000
0.326 0.826 0.000
0.674 0.174 0.000
0.826 0.674 0.000
0.000 0.000 0.000
0.500 0.500 0.000
0.124 0.624 0.000
0.376 0.124 0.000
0.624 0.876 0.000
0.876 0.376 0.000
0.000 0.500 0.500
0.065 0.797 0.500
0.203 0.065 0.500
0.297 0.565 0.500
0.435 0.297 0.500
0.500 0.000 0.500
0.565 0.703 0.500
0.703 0.435 0.500
0.797 0.935 0.500
0.935 0.203 0.500